FeCoO2F: relaxed, PBE+U.

abc: 3.774 3.774 3.819
angles: 90.00 90.00 90.00
Space group P4/mmm (No. 123)
One atom of each set of equivalent atoms:
Fe: 0.000 0.000 0.000
Co: 0.500 0.500 0.500
O: 0.000 0.500 0.500
F: 0.500 0.500 0.000

Values from the calculation:
- energy (hartree per atom) = -0.198